# GGA-PBE YGe2W, relaxed
data_YGe2W
_cell_length_a 4.719
_cell_length_b 4.719
_cell_length_c 9.197
_cell_angle_alpha 75.14
_cell_angle_beta 75.14
_cell_angle_gamma 90.00
_space_group_name_H-M_alt 'P 1'
_space_group_IT_number 1
loop_
_space_group_symop_operation_xyz
'x,y,z'
loop_
_atom_site_label
_atom_site_type_symbol
_atom_site_fract_x
_atom_site_fract_y
_atom_site_fract_z
Y1 Y 0.500 0.500 0.000
Y2 Y 0.250 0.750 0.500
Ge1 Ge 0.774 0.125 0.250
Ge2 Ge 0.976 0.625 0.250
Ge3 Ge 0.375 0.226 0.750
Ge4 Ge 0.875 0.024 0.750
W1 W 0.000 0.000 0.000
W2 W 0.750 0.250 0.500
# Mass density = 7.28 g cm⁻³
# Crystal system = tetragonal
# E_form = 0.289 eV per atom
# Polymorph energy (0 for the lowest one) = 27.04 kJ per mole of atoms

***

# GGA-PBE La4DyTm5, relaxed
data_La4DyTm5
_cell_length_a 3.517
_cell_length_b 11.458
_cell_length_c 8.705
_cell_angle_alpha 90.13
_cell_angle_beta 101.65
_cell_angle_gamma 90.00
_space_group_name_H-M_alt 'P 1'
_space_group_IT_number 1
loop_
_space_group_symop_operation_xyz
'x,y,z'
loop_
_atom_site_label
_atom_site_type_symbol
_atom_site_fract_x
_atom_site_fract_y
_atom_site_fract_z
La1 La 0.665 0.250 0.329
La2 La 0.034 0.749 0.069
La3 La 0.335 0.750 0.671
La4 La 0.966 0.251 0.931
Dy1 Dy 0.500 0.000 0.000
Tm1 Tm 0.173 0.954 0.346
Tm2 Tm 0.172 0.544 0.344
Tm3 Tm 0.828 0.456 0.656
Tm4 Tm 0.500 0.500 0.000
Tm5 Tm 0.827 0.046 0.654
# Mass density = 7.55 g cm⁻³
# Crystal system = monoclinic
# E_form = 0.200 eV per atom
# Polymorph energy (0 for the lowest one) = 0.00 kJ per mole of atoms

***

# GGA-PBE CdB2F, relaxed
data_CdB2F
_cell_length_a 3.242
_cell_length_b 3.242
_cell_length_c 10.917
_cell_angle_alpha 81.46
_cell_angle_beta 81.46
_cell_angle_gamma 90.00
_space_group_name_H-M_alt 'P 1'
_space_group_IT_number 1
loop_
_space_group_symop_operation_xyz
'x,y,z'
loop_
_atom_site_label
_atom_site_type_symbol
_atom_site_fract_x
_atom_site_fract_y
_atom_site_fract_z
B1 B 0.375 0.125 0.250
B2 B 0.375 0.625 0.250
B3 B 0.375 0.625 0.750
B4 B 0.875 0.625 0.750
F1 F 0.500 0.500 0.000
F2 F 0.250 0.750 0.500
Cd1 Cd 0.000 0.000 0.000
Cd2 Cd 0.750 0.250 0.500
# Mass density = 4.53 g cm⁻³
# Crystal system = tetragonal
# Formation energy without anion corrections = 0.05 eV/atom
# Polymorph energy (0 for the lowest one) = 0.00 kJ per mole of atoms

***

Question: Which formula does entry 3 have?
Answer: CdB2F